# PBE AcErSbTe, relaxed
data_AcErSbTe
_cell_length_a 4.4301
_cell_length_b 4.4301
_cell_length_c 24.0111
_cell_angle_alpha 90.00
_cell_angle_beta 90.00
_cell_angle_gamma 120.00
_space_group_name_H-M_alt 'R 3 m'
_space_group_IT_number 160
_space_group_name_Hall 'R 3 -2"'
loop_
_atom_site_label
_atom_site_type_symbol
_atom_site_fract_x
_atom_site_fract_y
_atom_site_fract_z
Ac1 Ac 0.0000 0.0000 0.0000
Er1 Er 0.0000 0.0000 0.8214
Sb1 Sb 0.0000 0.0000 0.4183
Te1 Te 0.0000 0.0000 0.5710
# ΔE_f (raw)   -1193 meV/atom



# PBE Ac2PmTc3O12, relaxed
data_Ac2PmTc3O12
_cell_length_a 7.3133
_cell_length_b 7.3133
_cell_length_c 16.0558
_cell_angle_alpha 90.00
_cell_angle_beta 90.00
_cell_angle_gamma 120.00
_space_group_name_H-M_alt 'R -3 m'
_space_group_IT_number 166
_space_group_name_Hall '-R 3 2"'
loop_
_atom_site_label
_atom_site_type_symbol
_atom_site_fract_x
_atom_site_fract_y
_atom_site_fract_z
Ac1 Ac 0.0000 0.0000 0.1181
Pm1 Pm 0.0000 0.0000 0.5000
Tc1 Tc 0.0000 0.5000 0.0000
O1 O 0.0519 0.5259 0.8809
O2 O 0.0682 0.5341 0.3085
# ΔE_f (raw)   -2151 meV/atom



# PBE ErPa2H, relaxed
data_ErPa2H
_cell_length_a 3.1975
_cell_length_b 3.1975
_cell_length_c 28.1916
_cell_angle_alpha 90.00
_cell_angle_beta 90.00
_cell_angle_gamma 120.00
_space_group_name_H-M_alt 'R -3 m'
_space_group_IT_number 166
_space_group_name_Hall '-R 3 2"'
loop_
_atom_site_label
_atom_site_type_symbol
_atom_site_fract_x
_atom_site_fract_y
_atom_site_fract_z
Er1 Er 0.0000 0.0000 0.0000
Pa1 Pa 0.0000 0.0000 0.1117
H1 H 0.0000 0.0000 0.5000
# Raw total energy   -78.76 eV for the cell shown



# PBE TaInFe2, relaxed
data_TaInFe2
_cell_length_a 6.304
_cell_length_b 6.304
_cell_length_c 6.304
_cell_angle_alpha 90.00
_cell_angle_beta 90.00
_cell_angle_gamma 90.00
_space_group_name_H-M_alt 'F -4 3 m'
_space_group_IT_number 216
_space_group_name_Hall 'F -4 2 3'
loop_
_atom_site_label
_atom_site_type_symbol
_atom_site_fract_x
_atom_site_fract_y
_atom_site_fract_z
Ta1 Ta 0.000 0.000 0.000
In1 In 0.250 0.250 0.250
Fe1 Fe 0.000 0.000 0.500
Fe2 Fe 0.250 0.250 0.750
# Energy of formation   0.32 eV/atom



# PBE Ba3Sr3Tl2I, relaxed
data_Ba3Sr3Tl2I
_cell_length_a 9.9823
_cell_length_b 9.9823
_cell_length_c 4.5877
_cell_angle_alpha 90.00
_cell_angle_beta 90.00
_cell_angle_gamma 120.00
_space_group_name_H-M_alt 'P -6 2 m'
_space_group_IT_number 189
_space_group_name_Hall 'P -6 -2'
loop_
_atom_site_label
_atom_site_type_symbol
_atom_site_fract_x
_atom_site_fract_y
_atom_site_fract_z
Ba1 Ba 0.0000 0.3983 0.0000
Sr1 Sr 0.0000 0.7234 0.5000
Tl1 Tl 0.3333 0.6667 0.5000
I1 I 0.0000 0.0000 0.0000
# ΔE_f (raw)   -397 meV/atom



# PBE BaCd3Hg3, relaxed
data_BaCd3Hg3
_cell_length_a 8.1041
_cell_length_b 8.1041
_cell_length_c 20.6755
_cell_angle_alpha 90.00
_cell_angle_beta 90.00
_cell_angle_gamma 120.00
_space_group_name_H-M_alt 'R -3 m'
_space_group_IT_number 166
_space_group_name_Hall '-R 3 2"'
loop_
_atom_site_label
_atom_site_type_symbol
_atom_site_fract_x
_atom_site_fract_y
_atom_site_fract_z
Ba1 Ba 0.0000 0.0000 0.1196
Cd1 Cd 0.0822 0.5411 0.3471
Hg1 Hg 0.0553 0.5276 0.1089
# Energy above the most stable polymorph in this dataset   31 meV per atom
# Energy of formation   -0.22 eV/atom



# PBE Pu3MnS6, relaxed
data_Pu3MnS6
_cell_length_a 10.684
_cell_length_b 13.354
_cell_length_c 6.479
_cell_angle_alpha 90.00
_cell_angle_beta 90.00
_cell_angle_gamma 90.00
_space_group_name_H-M_alt 'C m c 21'
_space_group_IT_number 36
_space_group_name_Hall 'C 2c -2'
loop_
_atom_site_label
_atom_site_type_symbol
_atom_site_fract_x
_atom_site_fract_y
_atom_site_fract_z
Pu1 Pu 0.000 0.106 0.000
Pu2 Pu 0.181 0.397 0.933
Mn1 Mn 0.000 0.304 0.379
S1 S 0.000 0.283 0.737
S2 S 0.000 0.464 0.228
S3 S 0.162 0.023 0.717
S4 S 0.169 0.233 0.208
# ΔE_f (raw)   -1368 meV/atom



# PBE SrTaAl2, relaxed
data_SrTaAl2
_cell_length_a 11.035
_cell_length_b 2.899
_cell_length_c 5.463
_cell_angle_alpha 90.00
_cell_angle_beta 105.37
_cell_angle_gamma 90.00
_space_group_name_H-M_alt 'C 1 m 1'
_space_group_IT_number 8
_space_group_name_Hall 'C -2y'
loop_
_atom_site_label
_atom_site_type_symbol
_atom_site_fract_x
_atom_site_fract_y
_atom_site_fract_z
Sr1 Sr 0.000 0.000 0.000
Ta1 Ta 0.296 0.500 0.378
Al1 Al 0.046 0.500 0.511
Al2 Al 0.240 0.000 0.821
# Energy above the most stable polymorph in this dataset   305 meV per atom
# Energy of formation   0.30 eV/atom



# PBE LaOsPt, relaxed
data_LaOsPt
_cell_length_a 4.3510
_cell_length_b 4.3510
_cell_length_c 4.2371
_cell_angle_alpha 90.00
_cell_angle_beta 90.00
_cell_angle_gamma 120.00
_space_group_name_H-M_alt 'P -6 m 2'
_space_group_IT_number 187
_space_group_name_Hall 'P -6 2'
loop_
_atom_site_label
_atom_site_type_symbol
_atom_site_fract_x
_atom_site_fract_y
_atom_site_fract_z
La1 La 0.0000 0.0000 0.0000
Os1 Os 0.6667 0.3333 0.5000
Pt1 Pt 0.3333 0.6667 0.5000
# Energy above the most stable polymorph in this dataset   0 meV per atom
# Energy of formation   -0.32 eV/atom



# PBE Zn2RuSe, relaxed
data_Zn2RuSe
_cell_length_a 3.336
_cell_length_b 4.249
_cell_length_c 8.602
_cell_angle_alpha 90.00
_cell_angle_beta 90.00
_cell_angle_gamma 90.00
_space_group_name_H-M_alt 'I m m m'
_space_group_IT_number 71
_space_group_name_Hall '-I 2 2'
loop_
_atom_site_label
_atom_site_type_symbol
_atom_site_fract_x
_atom_site_fract_y
_atom_site_fract_z
Zn1 Zn 0.000 0.000 0.249
Ru1 Ru 0.000 0.500 0.500
Se1 Se 0.000 0.500 0.000
# ΔE_f (raw)   156 meV/atom



# PBE MnInSi2Sb, relaxed
data_MnInSi2Sb
_cell_length_a 5.038
_cell_length_b 5.038
_cell_length_c 4.890
_cell_angle_alpha 90.00
_cell_angle_beta 90.00
_cell_angle_gamma 90.00
_space_group_name_H-M_alt 'P 4/m m m'
_space_group_IT_number 123
_space_group_name_Hall '-P 4 2'
loop_
_atom_site_label
_atom_site_type_symbol
_atom_site_fract_x
_atom_site_fract_y
_atom_site_fract_z
Mn1 Mn 0.000 0.000 0.000
In1 In 0.500 0.500 0.000
Si1 Si 0.000 0.500 0.500
Sb1 Sb 0.000 0.000 0.500
# ΔE_f (raw)   1418 meV/atom